Here is TiCoCl3 after structural relaxation from Alexandria via LeMat-Bulk. Energies are from GGA-PBE.

Cell and atoms, written as extended XYZ:
```
5
Lattice="-1.315 3.453 3.121 1.764 -2.631 3.655 4.307 2.132 -0.544" Properties=species:S:1:pos:R:3 pbc="T T T"
Cl 0.882 -1.316 1.827
Cl 2.154 1.066 -0.272
Cl -0.658 1.727 1.560
Co 2.378 1.477 3.116
Ti 0.000 0.000 0.000
```

Computed properties:
Total DFT energy (no corrections) in eV/atom: -4.31
SG: No. 221
Raw formation energy in eV/atom: -0.206

***

Here is ReHg2W after structural relaxation from Alexandria via LeMat-Bulk. Energies are from GGA-PBE.

Cell and atoms, written as extended XYZ:
```
4
Lattice="-2.272 -4.459 1.931 0.662 -5.201 1.131 1.237 -0.287 4.802" Properties=species:S:1:pos:R:3 pbc="T T T"
Hg -0.355 -9.837 7.826
Hg -0.300 -7.586 5.941
Re -0.282 -5.243 3.832
W 0.006 -2.201 2.063
```

Computed properties:
Total DFT energy (no corrections) in eV/atom: -5.71
SG: No. 8
Formation energy from the elements in eV/atom: 0.7950

***

Here is CeErSn2 after structural relaxation from Alexandria via LeMat-Bulk. Energies are from GGA-PBE.

Cell and atoms, written as extended XYZ:
```
4
Lattice="4.013 0.000 0.000 0.000 4.013 0.000 0.000 0.000 6.775" Properties=species:S:1:pos:R:3 pbc="T T T"
Sn 0.000 0.000 5.208
Sn 0.000 0.000 1.567
Ce 2.006 2.006 3.387
Er 2.006 2.006 0.000
```

Computed properties:
Total DFT energy (no corrections) in eV/atom: -5.20
SG: No. 123
Formation energy from the elements in eV/atom: -0.5784

***

Here is Sm2Ho4In after structural relaxation from Alexandria via LeMat-Bulk. Energies are from GGA-PBE.

Cell and atoms, written as extended XYZ:
```
14
Lattice="10.694 0.000 0.000 0.000 5.066 -4.031 0.000 -1.166 8.928" Properties=species:S:1:pos:R:3 pbc="T T T"
Ho 8.021 4.173 -2.552
Ho 9.039 2.218 2.778
Ho 7.001 -0.315 4.793
Ho 8.019 1.640 -0.537
Ho 2.675 2.260 5.434
Ho 3.692 4.215 0.104
Ho 1.655 1.682 2.119
Ho 2.672 -0.273 7.450
Sm 0.439 3.523 -0.762
Sm 10.255 0.377 5.660
Sm 5.786 2.910 3.644
Sm 4.908 0.990 1.253
In 0.000 0.000 0.000
In 5.347 2.533 -2.016
```

Computed properties:
Total DFT energy (no corrections) in eV/atom: -4.40
SG: No. 14
Formation energy from the elements in eV/atom: -0.0436